No. 1
A relaxed ThCd3Au3 crystal. Source: Alexandria, functional PBE.

```
ThCd3Au3
1.0
8.4622 0.0000 0.0000
-4.2311 7.3285 0.0000
0.0000 0.0000 4.9754
Th Cd Au
2 6 6
Cartesian
0.0000 4.8856 1.2439 Th
4.2311 2.4428 3.7316 Th
-3.2211 5.7513 3.7316 Cd
0.8609 1.6633 3.7316 Cd
1.8709 0.0861 1.2439 Cd
2.3602 7.2424 3.7316 Cd
3.3702 5.6652 1.2439 Cd
7.4522 1.5772 1.2439 Cd
-1.3115 3.4875 3.7316 Au
-0.5551 6.7205 3.7316 Au
2.3645 2.8795 1.2439 Au
1.8666 4.4490 3.7316 Au
4.7862 0.6080 1.2439 Au
5.5425 3.8410 1.2439 Au
```

Values from the calculation:
Energy of formation, eV per atom: -0.35
Size of the total moment, μB/cell: 0.0
Calculated volume, A^3/atom: 22.05


No. 2
A relaxed ThCd3Au3 crystal. Source: Alexandria, functional PBE.

```
ThCd3Au3
1.0
4.1715 2.4084 5.6941
-4.1715 2.4084 5.6941
0.0000 -4.8169 5.6941
Th Cd Au
2 6 6
Cartesian
0.0000 0.0000 2.8093 Th
0.0000 0.0000 14.2729 Th
-1.3323 -2.3796 6.4001 Cd
-2.7269 -0.0360 10.6821 Cd
-1.3946 2.3436 6.4001 Cd
1.3946 -2.3436 10.6821 Cd
2.7269 0.0360 6.4001 Cd
1.3323 2.3796 10.6821 Cd
-2.4631 -0.0207 7.7505 Au
-1.2136 -2.1435 9.3317 Au
1.2495 -2.1228 7.7505 Au
-1.2495 2.1228 9.3317 Au
1.2136 2.1435 7.7505 Au
2.4631 0.0207 9.3317 Au
```

Values from the calculation:
Energy of formation, eV per atom: -0.27
Size of the total moment, μB/cell: 0.0
Calculated volume, A^3/atom: 24.52


No. 3
A relaxed ThCdAu crystal. Source: Alexandria, functional PBE.

```
ThCdAu
1.0
4.8424 0.0000 0.0000
0.0000 5.2717 0.0000
-2.4009 0.0000 5.9396
Th Cd Au
2 2 2
Cartesian
-0.0098 1.3179 1.3480 Th
2.4514 3.9537 4.5916 Th
0.0025 1.3179 4.9321 Cd
2.4391 3.9537 1.0075 Cd
0.0333 3.9537 2.7376 Au
2.4083 1.3179 3.2020 Au
```

Values from the calculation:
Energy of formation, eV per atom: -0.40
Size of the total moment, μB/cell: 0.0
Calculated volume, A^3/atom: 25.27


No. 4
A relaxed ThCd3Au crystal. Source: Alexandria, functional PBE.

```
ThCd3Au
1.0
5.6666 0.0000 0.0000
0.0000 6.0472 0.0000
-2.5166 0.0000 7.0441
Th Cd Au
2 6 2
Cartesian
0.9853 1.5118 0.9174 Th
2.1648 4.5354 6.1267 Th
-0.6456 0.0723 4.8864 Cd
-0.6456 2.9513 4.8864 Cd
0.8778 4.5354 2.9391 Cd
2.2723 1.5118 4.1050 Cd
3.7956 3.0959 2.1577 Cd
3.7956 5.9749 2.1577 Cd
1.7845 4.5354 0.3081 Au
1.3656 1.5118 6.7360 Au
```

Values from the calculation:
Energy of formation, eV per atom: -0.25
Size of the total moment, μB/cell: 0.0
Calculated volume, A^3/atom: 24.14


No. 5
A relaxed ThCdAu4 crystal. Source: Alexandria, functional PBE.

```
ThCdAu4
1.0
3.3163 -3.3167 0.0000
3.3163 3.3167 0.0000
-0.0094 0.0000 6.9304
Th Cd Au
1 1 4
Cartesian
0.0000 0.0000 0.0000 Th
3.3117 0.0000 3.4652 Cd
4.9726 -1.6566 1.8991 Au
1.6507 1.6566 5.0313 Au
4.9726 1.6566 1.8991 Au
1.6507 -1.6566 5.0313 Au
```

Values from the calculation:
Energy of formation, eV per atom: -0.22
Size of the total moment, μB/cell: 0.0
Calculated volume, A^3/atom: 25.41


No. 6
A relaxed Th2CdAu crystal. Source: Alexandria, functional PBE.

```
Th2CdAu
1.0
2.3104 1.3339 6.6983
-2.3104 1.3339 6.6983
0.0000 -2.6678 6.6983
Th Cd Au
2 1 1
Cartesian
0.0000 0.0000 0.0000 Th
0.0000 0.0000 3.8440 Th
0.0000 0.0000 8.6075 Cd
0.0000 0.0000 11.9114 Au
```

Values from the calculation:
Energy of formation, eV per atom: -0.07
Size of the total moment, μB/cell: 0.0
Calculated volume, A^3/atom: 30.96


No. 7
A relaxed Th8CdAu2 crystal. Source: Alexandria, functional PBE.

```
Th8CdAu2
1.0
7.8752 -3.3450 0.0000
7.8752 3.3450 0.0000
-0.0840 0.0000 6.3021
Th Cd Au
8 1 2
Cartesian
1.3336 0.0000 2.4053 Th
6.3480 1.6692 0.8121 Th
4.5461 0.0000 3.9572 Th
9.3183 1.6692 5.4900 Th
6.3480 -1.6692 0.8121 Th
11.1203 0.0000 2.3449 Th
9.3183 -1.6692 5.4900 Th
14.3328 0.0000 3.8968 Th
7.8332 0.0000 3.1510 Cd
3.7904 0.0000 0.7463 Au
11.8760 0.0000 5.5558 Au
```

Values from the calculation:
Energy of formation, eV per atom: -0.09
Size of the total moment, μB/cell: 0.0
Calculated volume, A^3/atom: 30.18


No. 8
A relaxed Th3CdAu4 crystal. Source: Alexandria, functional PBE.

```
Th3CdAu4
1.0
-1.9059 3.5314 7.8928
1.9059 -3.5314 7.8928
1.9059 3.5314 -7.8928
Th Cd Au
3 1 4
Cartesian
0.0000 0.0000 0.0000 Th
1.9059 0.0000 4.6958 Th
0.0000 3.5314 3.1970 Th
0.0000 0.0000 7.8928 Cd
1.9059 1.4632 -2.0242 Au
1.9059 1.4632 2.0242 Au
0.0000 2.0682 5.8686 Au
0.0000 2.0682 9.9170 Au
```

Values from the calculation:
Energy of formation, eV per atom: -0.51
Size of the total moment, μB/cell: 0.0
Calculated volume, A^3/atom: 26.56


No. 9
A relaxed ThCd5Au7 crystal. Source: Alexandria, functional PBE.

```
ThCd5Au7
1.0
-2.8759 5.1547 4.7278
2.8759 -5.1547 4.7278
2.8759 5.1547 -4.7278
Th Cd Au
1 5 7
Cartesian
0.0000 0.0000 0.0000 Th
1.4445 2.5397 2.3013 Cd
4.3072 2.5397 2.3013 Cd
0.0000 5.1547 2.0594 Cd
-1.4313 2.6150 7.0291 Cd
1.4313 2.6150 7.0291 Cd
2.8759 1.5042 -0.0866 Au
2.8759 0.0000 2.5437 Au
2.8759 -2.0001 4.6752 Au
0.0000 0.0000 3.0165 Au
0.0000 0.0000 6.4498 Au
2.8759 2.0001 4.6752 Au
0.0000 3.6505 4.6412 Au
```

Values from the calculation:
Energy of formation, eV per atom: -0.23
Size of the total moment, μB/cell: 0.0
Calculated volume, A^3/atom: 21.56


No. 10
A relaxed ThCd3Au3 crystal. Source: Alexandria, functional PBE.

```
ThCd3Au3
1.0
7.4188 0.0000 0.0000
0.0000 7.4188 0.0000
0.0000 0.0000 7.4188
Th Cd Au
2 6 6
Cartesian
0.0000 0.0000 0.0000 Th
3.7094 3.7094 3.7094 Th
0.0000 1.8547 3.7094 Cd
0.0000 5.5641 3.7094 Cd
1.8547 3.7094 0.0000 Cd
3.7094 0.0000 1.8547 Cd
3.7094 0.0000 5.5641 Cd
5.5641 3.7094 0.0000 Cd
0.0000 3.7094 1.8547 Au
0.0000 3.7094 5.5641 Au
1.8547 0.0000 3.7094 Au
3.7094 1.8547 0.0000 Au
3.7094 5.5641 0.0000 Au
5.5641 0.0000 3.7094 Au
```

Values from the calculation:
Energy of formation, eV per atom: 0.39
Size of the total moment, μB/cell: 1.1
Calculated volume, A^3/atom: 29.17


No. 11
A relaxed ThCd3Au4 crystal. Source: Alexandria, functional PBE.

```
ThCd3Au4
1.0
2.3893 1.3795 8.7385
-2.3893 1.3795 8.7385
0.0000 -2.7590 8.7385
Th Cd Au
1 3 4
Cartesian
0.0000 0.0000 0.0000 Th
0.0000 0.0000 6.3798 Cd
0.0000 0.0000 13.1077 Cd
0.0000 0.0000 19.8355 Cd
0.0000 0.0000 3.2591 Au
0.0000 0.0000 10.1601 Au
0.0000 0.0000 16.0553 Au
0.0000 0.0000 22.9562 Au
```

Values from the calculation:
Energy of formation, eV per atom: -0.36
Size of the total moment, μB/cell: 0.0
Calculated volume, A^3/atom: 21.60


No. 12
A relaxed Th2CdAu crystal. Source: Alexandria, functional PBE.

```
Th2CdAu
1.0
4.8337 0.0000 0.0000
0.0000 4.8337 0.0000
0.0000 0.0000 4.5002
Th Cd Au
2 1 1
Cartesian
0.0000 2.4169 0.0000 Th
2.4169 0.0000 0.0000 Th
0.0000 0.0000 2.2501 Cd
2.4169 2.4169 2.2501 Au
```

Values from the calculation:
Energy of formation, eV per atom: -0.29
Size of the total moment, μB/cell: 0.0
Calculated volume, A^3/atom: 26.29


No. 13
A relaxed ThCd11Au crystal. Source: Alexandria, functional PBE.

```
ThCd11Au
1.0
2.9589 -7.0403 0.0000
2.9589 7.0403 0.0000
-2.9321 0.0000 7.0053
Th Cd Au
1 11 1
Cartesian
0.0000 0.0000 0.0000 Th
-1.4661 0.0000 3.5026 Cd
1.4795 3.5202 0.0000 Cd
0.0524 2.4483 2.4801 Cd
0.0352 1.4858 5.5059 Cd
0.0524 -2.4483 2.4801 Cd
2.9506 1.4858 1.4993 Cd
1.4795 -3.5202 0.0000 Cd
0.0352 -1.4858 5.5059 Cd
2.9334 2.4483 4.5252 Cd
2.9506 -1.4858 1.4993 Cd
2.9334 -2.4483 4.5252 Cd
1.4929 0.0000 3.5026 Au
```

Values from the calculation:
Energy of formation, eV per atom: -0.10
Size of the total moment, μB/cell: 0.0
Calculated volume, A^3/atom: 22.45


No. 14
A relaxed ThCdAu2 crystal. Source: Alexandria, functional PBE.

```
ThCdAu2
1.0
0.0000 3.5765 3.5765
3.5765 0.0000 3.5765
3.5765 3.5765 0.0000
Th Cd Au
1 1 2
Cartesian
0.0000 0.0000 0.0000 Th
3.5765 3.5765 3.5765 Cd
1.7883 1.7883 1.7883 Au
5.3648 5.3648 5.3648 Au
```

Values from the calculation:
Energy of formation, eV per atom: -0.59
Size of the total moment, μB/cell: 0.0
Calculated volume, A^3/atom: 22.87


No. 15
A relaxed ThCd9Au2 crystal. Source: Alexandria, functional PBE.

```
ThCd9Au2
1.0
-5.9111 5.9111 3.7914
5.9111 -5.9111 3.7914
5.9111 5.9111 -3.7914
Th Cd Au
2 18 4
Cartesian
5.9111 2.9556 0.9478 Th
0.0000 2.9556 2.8435 Th
4.4902 -0.5929 1.3126 Cd
7.3321 -0.5929 1.3126 Cd
5.9111 -2.9556 2.8435 Cd
2.3627 1.5346 0.5830 Cd
9.4596 1.5346 0.5830 Cd
4.4902 5.3182 -1.3126 Cd
1.4209 -0.5929 2.4787 Cd
2.3627 4.3765 0.5830 Cd
3.5485 -1.5346 4.3744 Cd
2.3627 7.4458 -0.5830 Cd
3.5485 1.5346 3.2083 Cd
4.4902 6.5040 1.3126 Cd
1.4209 0.5929 5.1040 Cd
-3.5485 4.3765 3.2083 Cd
3.5485 4.3765 3.2083 Cd
0.0000 8.8667 0.9478 Cd
-1.4209 6.5040 2.4787 Cd
1.4209 6.5040 2.4787 Cd
0.0000 0.0000 0.0000 Au
2.9556 2.9556 -1.8957 Au
2.9556 -2.9556 1.8957 Au
0.0000 5.9111 0.0000 Au
```

Values from the calculation:
Energy of formation, eV per atom: -0.14
Size of the total moment, μB/cell: 0.0
Calculated volume, A^3/atom: 22.08


No. 16
A relaxed Th2CdAu crystal. Source: Alexandria, functional PBE.

```
Th2CdAu
1.0
1.8340 1.0588 9.7995
-1.8340 1.0588 9.7995
0.0000 -2.1177 9.7995
Th Cd Au
2 1 1
Cartesian
0.0000 0.0000 7.1902 Th
0.0000 0.0000 22.2084 Th
0.0000 0.0000 0.0000 Cd
0.0000 0.0000 14.6993 Au
```

Values from the calculation:
Energy of formation, eV per atom: -0.16
Size of the total moment, μB/cell: 0.0
Calculated volume, A^3/atom: 28.54


No. 17
A relaxed Th3CdAu3 crystal. Source: Alexandria, functional PBE.

```
Th3CdAu3
1.0
9.2097 0.0000 0.0000
-4.6049 7.9759 0.0000
0.0000 0.0000 5.8054
Th Cd Au
6 2 6
Cartesian
-1.2757 2.7386 1.4514 Th
-1.5953 7.7114 1.4514 Th
1.7339 2.4742 4.3541 Th
2.8710 5.5017 1.4514 Th
6.2001 0.2645 4.3541 Th
5.8806 5.2372 4.3541 Th
0.0000 5.3172 4.3541 Cd
4.6049 2.6586 1.4514 Cd
-1.3802 2.7946 4.3541 Au
-1.4946 7.7738 4.3541 Au
1.7301 2.5926 1.4514 Au
2.8747 5.3833 4.3541 Au
6.0994 0.2021 1.4514 Au
5.9850 5.1812 1.4514 Au
```

Values from the calculation:
Energy of formation, eV per atom: -0.31
Size of the total moment, μB/cell: 0.0
Calculated volume, A^3/atom: 30.46


No. 18
A relaxed ThCd3Au crystal. Source: Alexandria, functional PBE.

```
ThCd3Au
1.0
9.3171 0.0000 0.0000
0.0000 4.2461 0.0000
0.0000 0.0000 12.2571
Th Cd Au
4 12 4
Cartesian
1.5886 1.0615 0.0963 Th
3.0700 3.1846 6.2249 Th
6.2472 1.0615 6.0322 Th
7.7285 3.1846 12.1608 Th
0.6245 1.0615 4.9356 Cd
0.7951 3.1846 2.6497 Cd
1.3589 3.1846 9.7632 Cd
3.2997 1.0615 3.6347 Cd
3.8635 1.0615 8.7783 Cd
4.0341 3.1846 11.0642 Cd
5.2831 1.0615 1.1930 Cd
5.4537 3.1846 3.4788 Cd
6.0175 3.1846 8.6224 Cd
7.9582 1.0615 2.4939 Cd
8.5221 1.0615 9.6074 Cd
8.6926 3.1846 7.3215 Cd
1.3214 1.0615 7.6645 Au
3.3372 3.1846 1.5359 Au
5.9800 1.0615 10.7212 Au
7.9957 3.1846 4.5926 Au
```

Values from the calculation:
Energy of formation, eV per atom: -0.22
Size of the total moment, μB/cell: 0.0
Calculated volume, A^3/atom: 24.25


No. 19
A relaxed ThCdAu crystal. Source: Alexandria, functional PBE.

```
ThCdAu
1.0
-1.7546 1.7546 5.9072
1.7546 -1.7546 5.9072
1.7546 1.7546 -5.9072
Th Cd Au
1 1 1
Cartesian
0.0000 0.0000 0.0000 Th
0.0000 0.0000 3.5912 Cd
0.0000 0.0000 7.8555 Au
```

Values from the calculation:
Energy of formation, eV per atom: -0.36
Size of the total moment, μB/cell: 0.0
Calculated volume, A^3/atom: 24.25


No. 20
A relaxed Th2CdAu crystal. Source: Alexandria, functional PBE.

```
Th2CdAu
1.0
0.0000 3.7804 3.7804
3.7804 0.0000 3.7804
3.7804 3.7804 0.0000
Th Cd Au
2 1 1
Cartesian
1.8902 1.8902 1.8902 Th
5.6706 5.6706 5.6706 Th
0.0000 0.0000 0.0000 Cd
3.7804 3.7804 3.7804 Au
```

Values from the calculation:
Energy of formation, eV per atom: -0.26
Size of the total moment, μB/cell: 0.0
Calculated volume, A^3/atom: 27.01


No. 21
A relaxed Th3Cd5Au2 crystal. Source: Alexandria, functional PBE.

```
Th3Cd5Au2
1.0
-6.2875 6.4622 3.1464
6.2875 -6.4622 3.1464
6.2875 6.4622 -3.1464
Th Cd Au
6 10 4
Cartesian
7.9193 3.1813 0.0000 Th
0.0000 0.0000 1.5732 Th
1.6318 3.2810 0.0000 Th
4.6557 3.1813 3.1464 Th
0.0000 0.0000 4.7196 Th
-1.6318 3.2810 3.1464 Th
4.7894 1.8163 0.0000 Cd
3.2095 0.0000 1.5732 Cd
6.2875 0.0000 1.5732 Cd
9.3655 0.0000 1.5732 Cd
4.7894 -1.8163 3.1464 Cd
1.4981 8.2786 0.0000 Cd
-3.0780 6.4622 1.5732 Cd
0.0000 6.4622 1.5732 Cd
3.0780 6.4622 1.5732 Cd
1.4981 4.6459 3.1464 Cd
4.5413 -4.4787 3.1464 Au
4.5413 4.4787 0.0000 Au
1.7462 1.9835 3.1464 Au
1.7462 10.9410 0.0000 Au
```

Values from the calculation:
Energy of formation, eV per atom: -0.17
Size of the total moment, μB/cell: 0.0
Calculated volume, A^3/atom: 25.57


No. 22
A relaxed Th2Cd3Au4 crystal. Source: Alexandria, functional PBE.

```
Th2Cd3Au4
1.0
4.2613 -2.4591 0.0000
4.2613 2.4591 0.0000
-0.0199 0.0000 9.8737
Th Cd Au
2 3 4
Cartesian
1.4229 0.0000 2.1633 Th
7.0797 0.0000 7.7104 Th
1.4023 0.0000 5.6973 Cd
4.2613 0.0000 0.0000 Cd
7.1003 0.0000 4.1763 Cd
1.3980 0.0000 8.9434 Au
4.2395 0.0000 6.3730 Au
4.2631 0.0000 3.5007 Au
7.1046 0.0000 0.9302 Au
```

Values from the calculation:
Energy of formation, eV per atom: -0.48
Size of the total moment, μB/cell: 0.0
Calculated volume, A^3/atom: 22.99